SrAcNi2H8 | PBE | relaxed

Computed properties:
N(E_F) in states/eV/f.u.: 6.33
E in eV/atom: -3.91
ρ in Mg/m³: 5.4

Lattice parameters (Å, degrees): 7.2877 7.2877 7.2877 38.53 38.53 38.53
Closest atoms and distances in Å follow each position.
Positions (direct):
Sr1 0.0000 0.0000 0.0000  12 H 2.70
Ac1 0.5000 0.5000 0.5000  12 H 2.54-2.78
Ni1 0.2380 0.2380 0.2380  4 H 1.58-1.62
Ni2 0.7620 0.7620 0.7620  4 H 1.58-1.62
H1 0.0665 0.5577 0.5577  1 Ni 1.58
H2 0.1581 0.1581 0.1581  1 Ni 1.62
H3 0.4423 0.4423 0.9335  1 Ni 1.58
H4 0.4423 0.9335 0.4423  1 Ni 1.58
H5 0.5577 0.0665 0.5577  1 Ni 1.58
H6 0.5577 0.5577 0.0665  1 Ni 1.58
H7 0.8419 0.8419 0.8419  1 Ni 1.62
H8 0.9335 0.4423 0.4423  1 Ni 1.58